Material: LiCdTeMoBr
Method: DFT, PBE
State: relaxed

The space group is Cm (No. 8) and the conventional cell measures 6.1150, 3.5300 and 10.8609 Å, with angles of 90.00, 90.12 and 90.00 degrees. The inequivalent atoms are Li at (0.0000, 0.0000, 0.0000), Cd at (0.3304, 0.0000, 0.6170), Te at (0.4957, 0.5000, 0.2611), Mo at (0.1630, 0.5000, 0.4216) and Br at (0.3328, 0.0000, 0.8842).

The uncorrected formation energy is -0.35 eV per atom. For the theoretical density, the calculation gives 6.0 g/cm³.



Material: Sr2CaSb
Method: DFT, PBE
State: relaxed

The space group is Imm2 (No. 44) and the conventional cell measures 4.2801, 5.6856 and 13.4043 Å, with angles of 90.00, 90.00 and 90.00 degrees. The inequivalent atoms are Sr at (0.0000, 0.0000, 0.0000), Sr at (0.0000, 0.5000, 0.1911), Ca at (0.0000, 0.5000, 0.8159) and Sb at (0.0000, 0.0000, 0.4924).

The uncorrected formation energy is -0.52 eV per atom. For the theoretical density, the calculation gives 3.4 g/cm³.



Material: Pr3Sn4Hg2
Method: DFT, PBE
State: relaxed

The space group is P-62m (No. 189) and the conventional cell measures 8.1333, 8.1333 and 4.4296 Å, with angles of 90.00, 90.00 and 120.00 degrees. The inequivalent atoms are Pr at (0.0000, 0.6172, 0.0000), Sn at (0.0000, 0.0000, 0.0000), Sn at (0.0000, 0.2830, 0.5000) and Hg at (0.3333, 0.6667, 0.5000).

For the theoretical density, the calculation gives 8.5 g/cm³. The energy of formation comes out at -0.461 eV/atom.



Material: Ge3Te3Br
Method: DFT, PBE
State: relaxed

The space group is R-3 (No. 148, hexagonal axes) and the conventional cell measures 8.4425, 8.4425 and 22.4488 Å, with angles of 90.00, 90.00 and 120.00 degrees. The inequivalent atoms are Ge at (0.0251, 0.7308, 0.2192), Te at (0.0213, 0.6228, 0.7620) and Br at (0.0000, 0.0000, 0.3083).

The uncorrected formation energy is -0.02 eV per atom. For the theoretical density, the calculation gives 4.9 g/cm³.



Material: ZrBeHg2
Method: DFT, PBE
State: relaxed

The space group is I-4m2 (No. 119) and the conventional cell measures 4.3606, 4.3606 and 8.1463 Å, with angles of 90.00, 90.00 and 90.00 degrees. The inequivalent atoms are Zr at (0.0000, 0.0000, 0.0000), Be at (0.0000, 0.5000, 0.7500), Hg at (0.0000, 0.0000, 0.5000) and Hg at (0.0000, 0.5000, 0.2500).

For the theoretical density, the calculation gives 10.8 g/cm³. The energy of formation comes out at 0.301 eV/atom.



Material: SmHoGaSn
Method: DFT, PBE
State: relaxed

The space group is F-43m (No. 216) and the conventional cell measures 7.4364, 7.4364 and 7.4364 Å, with angles of 90.00, 90.00 and 90.00 degrees. The inequivalent atoms are Sm at (0.0000, 0.0000, 0.0000), Ho at (0.0000, 0.0000, 0.5000), Ga at (0.2500, 0.2500, 0.2500) and Sn at (0.2500, 0.2500, 0.7500).

For the theoretical density, the calculation gives 8.1 g/cm³. The energy of formation comes out at -0.545 eV/atom.



| no. | Fermi-level density of states (states/eV per atom) |
| --- | --- |
| 1 | 0.474 |
| 2 | 0.568 |
| 3 | 0.671 |
| 4 | 0.766 |
| 5 | 0.784 |
| 6 | 0.689 |